No. 1
# TePt PBE relaxed
# Energy relative to the elements, uncorrected = -0.24 eV per atom
# V = 289.25 Å³/cell
data_TePt
_space_group_name_H-M_alt 'I m m 2'
_space_group_IT_number 44
_space_group_name_Hall 'I 2 -2'
_cell_length_a 3.994
_cell_length_b 11.654
_cell_length_c 6.215
_cell_angle_alpha 90.00
_cell_angle_beta 90.00
_cell_angle_gamma 90.00
loop_
_atom_site_label
_atom_site_fract_x
_atom_site_fract_y
_atom_site_fract_z
Te1 0.000 0.000 0.000
Te2 0.000 0.316 0.956
Pt1 0.000 0.332 0.529
Pt2 0.000 0.500 0.196

---

No. 2
# CsHgTe2Pb PBE relaxed
# Energy relative to the elements, uncorrected = -0.40 eV per atom
# V = 425.28 Å³/cell
data_CsHgTe2Pb
_space_group_name_H-M_alt 'P 1 2/c 1'
_space_group_IT_number 13
_space_group_name_Hall '-P 2yc'
_cell_length_a 8.391
_cell_length_b 7.626
_cell_length_c 7.278
_cell_angle_alpha 90.00
_cell_angle_beta 114.07
_cell_angle_gamma 90.00
loop_
_atom_site_label
_atom_site_fract_x
_atom_site_fract_y
_atom_site_fract_z
Cs1 0.000 0.203 0.250
Hg1 0.500 0.000 0.000
Te1 0.211 0.317 0.854
Pb1 0.500 0.491 0.250

---

No. 3
# SrLuBi2 PBE relaxed
# Formation enthalpy at 0 K = -0.6135 eV per atom
# V = 126.63 Å³/cell
# Relative energy among the computed polymorphs = 0.0955 eV per atom
data_SrLuBi2
_space_group_name_H-M_alt 'P 4/m m m'
_space_group_IT_number 123
_space_group_name_Hall '-P 4 2'
_cell_length_a 3.833
_cell_length_b 3.833
_cell_length_c 8.619
_cell_angle_alpha 90.00
_cell_angle_beta 90.00
_cell_angle_gamma 90.00
loop_
_atom_site_label
_atom_site_fract_x
_atom_site_fract_y
_atom_site_fract_z
Sr1 0.000 0.000 0.000
Lu1 0.000 0.000 0.500
Bi1 0.500 0.500 0.275

---

No. 4
# Mn2PPt PBE relaxed
# Formation enthalpy at 0 K = 0.5343 eV per atom
# V = 281.17 Å³/cell
data_Mn2PPt
_space_group_name_H-M_alt 'I -4 2 d'
_space_group_IT_number 122
_space_group_name_Hall 'I -4 2bw'
_cell_length_a 5.235
_cell_length_b 5.235
_cell_length_c 10.261
_cell_angle_alpha 90.00
_cell_angle_beta 90.00
_cell_angle_gamma 90.00
loop_
_atom_site_label
_atom_site_fract_x
_atom_site_fract_y
_atom_site_fract_z
Mn1 0.227 0.250 0.125
P1 0.000 0.000 0.000
Pt1 0.000 0.000 0.500

---

No. 5
# PmScS2O PBE relaxed
# Energy relative to the elements, uncorrected = -2.42 eV per atom
# V = 197.60 Å³/cell
data_PmScS2O
_space_group_name_H-M_alt 'P 4/n m m'
_space_group_IT_number 129
_cell_length_a 3.844
_cell_length_b 3.844
_cell_length_c 13.370
_cell_angle_alpha 90.00
_cell_angle_beta 90.00
_cell_angle_gamma 90.00
loop_
_space_group_symop_operation_xyz
'x,y,z'
'-x,-y,-z'
'-y+1/2,x,z'
'y+1/2,-x,-z'
'-x+1/2,-y+1/2,z'
'x+1/2,y+1/2,-z'
'y,-x+1/2,z'
'-y,x+1/2,-z'
'x+1/2,-y,-z'
'-x+1/2,y,z'
'-y,-x,-z'
'y,x,z'
'-x,y+1/2,-z'
'x,-y+1/2,z'
'y+1/2,x+1/2,-z'
'-y+1/2,-x+1/2,z'
loop_
_atom_site_label
_atom_site_fract_x
_atom_site_fract_y
_atom_site_fract_z
Pm1 0.250 0.250 0.093
Sc1 0.250 0.250 0.614
S1 0.250 0.250 0.411
S2 0.250 0.250 0.790
O1 0.250 0.750 0.000

---

No. 6
# ZnTc PBE relaxed
# Formation enthalpy at 0 K = 0.1918 eV per atom
# V = 249.43 Å³/cell
# Relative energy among the computed polymorphs = 0.2323 eV per atom
data_ZnTc
_space_group_name_H-M_alt 'P 4/m'
_space_group_IT_number 83
_space_group_name_Hall '-P 4'
_cell_length_a 9.481
_cell_length_b 9.481
_cell_length_c 2.775
_cell_angle_alpha 90.00
_cell_angle_beta 90.00
_cell_angle_gamma 90.00
loop_
_atom_site_label
_atom_site_fract_x
_atom_site_fract_y
_atom_site_fract_z
Zn1 0.014 0.812 0.000
Zn2 0.201 0.314 0.500
Tc1 0.084 0.587 0.500
Tc2 0.323 0.539 0.000

---

No. 7
# SbWSe2 PBE relaxed
# Energy relative to the elements, uncorrected = 0.03 eV per atom
# V = 198.26 Å³/cell
data_SbWSe2
_space_group_name_H-M_alt 'P 1'
_space_group_IT_number 1
_space_group_name_Hall 'P 1'
_cell_length_a 5.614
_cell_length_b 6.441
_cell_length_c 6.622
_cell_angle_alpha 95.56
_cell_angle_beta 112.59
_cell_angle_gamma 111.18
loop_
_atom_site_label
_atom_site_fract_x
_atom_site_fract_y
_atom_site_fract_z
Sb1 0.000 0.000 0.000
Sb2 0.272 0.787 0.491
W1 0.052 0.610 0.785
W2 0.813 0.836 0.538
Se1 0.130 0.266 0.655
Se2 0.552 0.408 0.490
Se3 0.565 0.809 0.104
Se4 0.918 0.451 0.079

---

No. 8
# Li3Ge5Au12 PBE relaxed
# Formation enthalpy at 0 K = -0.0389 eV per atom
# V = 3469.04 Å³/cell
data_Li3Ge5Au12
_space_group_name_H-M_alt 'I a -3 d'
_space_group_IT_number 230
_space_group_name_Hall '-I 4bd 2c 3'
_cell_length_a 15.138
_cell_length_b 15.138
_cell_length_c 15.138
_cell_angle_alpha 90.00
_cell_angle_beta 90.00
_cell_angle_gamma 90.00
loop_
_atom_site_label
_atom_site_fract_x
_atom_site_fract_y
_atom_site_fract_z
Li1 0.000 0.250 0.125
Ge1 0.000 0.000 0.000
Ge2 0.000 0.250 0.375
Au1 0.012 0.074 0.653

---

No. 9
# LiNi2Ru PBE relaxed
# Formation enthalpy at 0 K = 0.1416 eV per atom
# V = 189.46 Å³/cell
# Relative energy among the computed polymorphs = 0.1081 eV per atom
data_LiNi2Ru
_space_group_name_H-M_alt 'F m m m'
_space_group_IT_number 69
_space_group_name_Hall '-F 2 2'
_cell_length_a 5.183
_cell_length_b 5.195
_cell_length_c 7.036
_cell_angle_alpha 90.00
_cell_angle_beta 90.00
_cell_angle_gamma 90.00
loop_
_atom_site_label
_atom_site_fract_x
_atom_site_fract_y
_atom_site_fract_z
Li1 0.000 0.000 0.000
Ni1 0.250 0.250 0.250
Ru1 0.000 0.000 0.500

---

No. 10
# PrEr5Pd2 PBE relaxed
# Formation enthalpy at 0 K = -0.3826 eV per atom
# V = 885.16 Å³/cell
data_PrEr5Pd2
_space_group_name_H-M_alt 'C m c m'
_space_group_IT_number 63
_space_group_name_Hall '-C 2c 2'
_cell_length_a 3.828
_cell_length_b 12.868
_cell_length_c 17.968
_cell_angle_alpha 90.00
_cell_angle_beta 90.00
_cell_angle_gamma 90.00
loop_
_atom_site_label
_atom_site_fract_x
_atom_site_fract_y
_atom_site_fract_z
Pr1 0.000 0.149 0.250
Er1 0.000 0.116 0.750
Er2 0.000 0.155 0.042
Er3 0.000 0.447 0.101
Pd1 0.000 0.239 0.623

---

No. 11
# CsGa2AgRh PBE relaxed
# Formation enthalpy at 0 K = -0.1463 eV per atom
# V = 131.74 Å³/cell
data_CsGa2AgRh
_space_group_name_H-M_alt 'P 4/m m m'
_space_group_IT_number 123
_space_group_name_Hall '-P 4 2'
_cell_length_a 4.853
_cell_length_b 4.853
_cell_length_c 5.593
_cell_angle_alpha 90.00
_cell_angle_beta 90.00
_cell_angle_gamma 90.00
loop_
_atom_site_label
_atom_site_fract_x
_atom_site_fract_y
_atom_site_fract_z
Cs1 0.000 0.000 0.000
Ga1 0.000 0.500 0.500
Ag1 0.500 0.500 0.000
Rh1 0.500 0.500 0.500

---

No. 12
# LaCdC PBE relaxed
# Formation enthalpy at 0 K = -0.2121 eV per atom
# V = 290.62 Å³/cell
data_LaCdC
_space_group_name_H-M_alt 'C 1 2/m 1'
_space_group_IT_number 12
_space_group_name_Hall '-C 2y'
_cell_length_a 7.959
_cell_length_b 3.929
_cell_length_c 9.724
_cell_angle_alpha 90.00
_cell_angle_beta 107.13
_cell_angle_gamma 90.00
loop_
_atom_site_label
_atom_site_fract_x
_atom_site_fract_y
_atom_site_fract_z
La1 0.090 0.000 0.344
Cd1 0.181 0.500 0.079
C1 0.087 0.500 0.532

---

- What is the V in the ninth record?
  189.46 Å³/cell